# Cs4Rb2GaPb2

An optimized crystal structure of Cs4Rb2GaPb2 (PBE, Alexandria via LeMat-Bulk).

Cell lengths 16.1342, 9.0080, 7.4822 Å; angles 90.00, 107.85, 90.00 degrees
Space group C2/m (No. 12)
One atom of each set of equivalent atoms:
Cs1 0.1245 0.2307 0.2368 x8
Rb1 0.1408 0.5000 0.7753 x4
Ga1 0.0000 0.0000 0.5000 x2
Pb1 0.1582 0.0000 0.7574 x4

Properties
Total DFT energy (no corrections): -32.51 eV/cell